# Ba6H2Pt | Alexandria | PBE | optimized geometry
# Crystal system: monoclinic
# DOS(E_F) in states/eV per cell: 14.32
# M_tot in μB per cell: 0.001
# V in Å³ per cell: 734.5
# Total energy in eV per cell: -54.6
data_Ba6H2Pt
_symmetry_space_group_name_H-M 'P 1 21/c 1'
_symmetry_Int_Tables_number 14
_cell_length_a 7.6842
_cell_length_b 7.2362
_cell_length_c 15.2793
_cell_angle_alpha 90.00
_cell_angle_beta 120.17
_cell_angle_gamma 90.00
loop_
_symmetry_equiv_pos_as_xyz
'x,y,z'
'-x,-y,-z'
'-x,y+1/2,-z+1/2'
'x,-y+1/2,z+1/2'
loop_
_atom_site_label
_atom_site_fract_x
_atom_site_fract_y
_atom_site_fract_z
Ba1 0.0081 0.2405 0.3322
Ba2 0.3433 0.2405 0.6681
Ba3 0.3447 0.7277 0.0000
H1 0.3380 0.0009 0.3377
Pt1 0.0000 0.0000 0.5000